[1]
VASP calculation (PBE) on crystalline AlIn2Ir at its relaxed geometry.

Results
N(E_F)	2.36	states/eV/cell
crystal system	tetragonal
E_tot	-4.430	eV per atom
formation energy	0.09	eV per atom
symmetry	P4/mmm, No. 123
size of the total moment	0.0	μB/f.u.

abc: 3.060 3.060 8.404
angles: 90.00 90.00 90.00
Fractional positions:
Al  0.000  0.000  0.000
In  0.500  0.500  0.283
In  0.500  0.500  0.717
Ir  0.000  0.000  0.500



[2]
VASP calculation (PBE) on crystalline Al2InIr at its relaxed geometry.

Results
N(E_F)	0.67	states/eV/cell
crystal system	tetragonal
E_tot	-4.815	eV per atom
formation energy	-0.04	eV per atom
symmetry	P4/mmm, No. 123
size of the total moment	0.0	μB/f.u.

abc: 4.628 4.628 3.071
angles: 90.00 90.00 90.00
Fractional positions:
Al  0.000  0.500  0.000
Al  0.500  0.000  0.000
In  0.000  0.000  0.500
Ir  0.500  0.500  0.500